First-principles (PBE) data for crystalline TbPmPrTm2 at its relaxed geometry, as listed in Alexandria via LeMat-Bulk.

Geometry as extended XYZ:
```
10
Lattice="-0.967 6.657 2.474 -2.718 -3.115 7.319 6.762 1.591 -1.638" Properties=species:S:1:pos:R:3 pbc="T T T"
Tb 0.776 0.122 5.167
Tb 2.301 5.012 2.988
Pm 3.780 0.141 6.290
Pm -0.702 4.993 1.864
Pr 0.399 3.451 6.444
Pr 2.678 1.683 1.711
Tm -1.335 2.352 3.531
Tm -1.866 -2.138 5.025
Tm -2.349 1.190 6.262
Tm -0.852 -0.976 2.294
```

Output
Energy of formation = 369 meV per atom
Density = 7.48 g/cm3

=====

First-principles (PBE) data for crystalline NaCaPt at its relaxed geometry, as listed in Alexandria via LeMat-Bulk.

Geometry as extended XYZ:
```
18
Lattice="-0.192 -4.044 1.053 7.602 -0.150 0.811 -1.475 3.416 12.849" Properties=species:S:1:pos:R:3 pbc="T T T"
Ca 3.459 -1.810 6.144
Ca 6.077 1.295 10.237
Ca -0.142 -2.073 4.476
Ca 4.708 -2.838 2.421
Ca 2.476 1.032 8.569
Ca 1.227 2.061 12.292
Pt 4.130 2.063 12.831
Pt 0.557 -0.512 10.596
Pt 4.547 -1.113 9.018
Pt 1.805 -2.841 1.883
Pt 1.388 0.335 5.696
Pt 5.378 -0.265 4.117
Na -0.111 -0.720 1.369
Na 5.870 0.436 6.899
Na 3.347 -0.391 11.571
Na 0.065 -1.214 7.814
Na 2.588 -0.386 3.142
Na 6.046 -0.057 13.345
```

Output
Energy of formation = -481 meV per atom
Density = 6.01 g/cm3

=====

First-principles (PBE) data for crystalline SmGeC at its relaxed geometry, as listed in Alexandria via LeMat-Bulk.

Geometry as extended XYZ:
```
6
Lattice="-3.871 -0.205 0.343 2.349 -2.415 2.993 -0.195 7.444 2.249" Properties=species:S:1:pos:R:3 pbc="T T T"
Sm -0.089 5.577 2.328
Sm -1.628 -0.753 3.256
Ge 0.187 1.876 3.235
Ge -1.904 2.948 2.349
C -1.871 -0.260 0.807
C 0.154 5.085 4.778
```

Output
Energy of formation = -340 meV per atom
Density = 6.83 g/cm3

=====

First-principles (PBE) data for crystalline Ce5InSn3 at its relaxed geometry, as listed in Alexandria via LeMat-Bulk.

Geometry as extended XYZ:
```
18
Lattice="6.542 0.000 0.000 0.000 9.548 0.000 0.000 -4.774 8.269" Properties=species:S:1:pos:R:3 pbc="T T T"
Ce 0.000 4.774 2.756
Ce 3.271 0.000 5.513
Ce 0.000 0.000 5.513
Ce 3.271 4.774 2.756
Ce 4.906 3.370 5.838
Ce 4.906 -1.404 2.431
Ce 4.906 2.807 0.000
Ce 1.635 1.404 2.431
Ce 1.635 6.178 5.838
Ce 1.635 6.741 0.000
In 0.000 0.000 0.000
In 3.271 0.000 0.000
Sn 4.906 1.746 3.024
Sn 4.906 6.520 5.245
Sn 4.906 6.056 0.000
Sn 1.635 3.028 5.245
Sn 1.635 -1.746 3.024
Sn 1.635 3.492 0.000
```

Output
Energy of formation = -548 meV per atom
Density = 7.53 g/cm3

=====

Which of these has the lowest density? NaCaPt

=====

What is the energy of formation in the second record? -481 meV per atom

=====

Which value of density does entry 4 give? 7.53 g/cm3